Compound: Mg2FeBiO6
Source: Alexandria
Functional: GGA+U
Structure: optimized geometry Values from VASP.

Quantum ESPRESSO input file:
```
&SYSTEM
  ibrav = 0, nat = 10, ntyp = 4
/
ATOMIC_SPECIES
Mg 24.30 Mg.upf
Fe 55.84 Fe.upf
Bi 208.98 Bi.upf
O 16.00 O.upf
CELL_PARAMETERS angstrom
5.306 0.000 0.000
2.653 4.595 0.000
2.653 1.532 4.745
ATOMIC_POSITIONS angstrom
Mg 5.306 3.063 2.079
Mg 2.653 1.532 4.429
Fe 7.959 4.595 2.689
Bi 2.653 1.532 0.293
O 4.546 1.355 1.220
O 4.206 4.575 1.220
O 7.166 3.260 1.221
O 6.156 4.453 3.549
O 6.084 1.633 3.549
O 3.677 3.104 3.549
```

Summary:
- Energy: -5.996 eV per atom